Entry 1:
Density functional theory data (PBE-GGA) for Er2CuAg after structural relaxation.

Summary:
- excess energy over the best structure of this formula in the dataset (kJ/mol of atoms) = 1.73
- energy of formation (eV/atom) = -0.284

a = 4.992 Å, b = 4.992 Å, c = 4.992 Å
α = 60.00°, β = 60.00°, γ = 60.00°
Fractional positions:
Ag 0.000 0.000 0.000
Cu 0.500 0.500 0.500
Er 0.250 0.250 0.250
Er 0.750 0.750 0.750

---

Entry 2:
Density functional theory data (PBE-GGA) for Ba2DyCdO5 after structural relaxation.

Summary:
- E_form (uncorrected) (meV per atom) = -2266

a = 3.637 Å, b = 7.777 Å, c = 11.362 Å
α = 90.00°, β = 90.00°, γ = 103.52°
Fractional positions:
Ba 0.131 0.263 0.291
Ba 0.869 0.737 0.791
Ba 0.113 0.227 0.698
Ba 0.887 0.773 0.198
O 0.932 0.864 0.556
O 0.281 0.563 0.636
O 0.364 0.728 0.004
O 0.700 0.399 0.876
O 0.300 0.601 0.376
O 0.636 0.272 0.504
O 0.499 0.998 0.784
O 0.719 0.437 0.136
O 0.501 0.002 0.284
O 0.068 0.136 0.056
Dy 0.216 0.431 0.003
Dy 0.784 0.569 0.503
Cd 0.517 0.033 0.976
Cd 0.483 0.967 0.476